LiAgNF2 | PBE-GGA | optimized geometry

Cell lengths 3.7631, 3.7631, 4.1354 Å; angles 90.00, 90.00, 90.00 degrees
Closest atoms and distances in Å follow each position.
Fractional positions:
Li1 0.0000 0.0000 0.0000  4 F 1.88, 2 N 2.07
Ag1 0.5000 0.5000 0.5000  4 N 2.66, 8 F 2.80
N1 0.0000 0.0000 0.5000  2 Li 2.07
F1 0.0000 0.5000 0.0000  2 Li 1.88
F2 0.5000 0.0000 0.0000  2 Li 1.88

Computed properties:
Relative energy among the computed polymorphs (eV per atom): 0.0000
Space group: P4/mmm, No. 123
Formation energy from raw total energies (meV/atom): -392
Size of the total moment (μB/atom): 0.594

LiAgNF2 | PBE-GGA | optimized geometry

Cell lengths 4.5252, 4.5252, 4.0031 Å; angles 90.00, 90.00, 90.00 degrees
Closest atoms and distances in Å follow each position.
Fractional positions:
Li1 0.0000 0.0000 0.0000  8 F 3.02, 4 N 3.20
Ag1 0.5000 0.5000 0.5000  2 N 2.00
N1 0.5000 0.5000 0.0000  2 Ag 2.00
F1 0.0000 0.5000 0.5000  2 Ag 2.26
F2 0.5000 0.0000 0.5000  2 Ag 2.26

Computed properties:
Relative energy among the computed polymorphs (eV per atom): 0.0470
Space group: P4/mmm, No. 123
Formation energy from raw total energies (meV/atom): -345
Size of the total moment (μB/atom): 0.401

Na3LiAg4F8 | PBE-GGA | optimized geometry

Cell lengths 6.5348, 6.5348, 6.8693 Å; angles 116.20, 116.20, 59.79 degrees
Closest atoms and distances in Å follow each position.
Fractional positions:
Na1 0.0000 0.0000 0.0000  6 F 2.29
Na2 0.0000 0.5000 0.0000  6 F 2.28-2.31
Na3 0.5000 0.0000 0.0000  6 F 2.28-2.31
Li1 0.5000 0.5000 0.0000  6 F 2.07-2.24
Ag1 0.0000 0.0000 0.5000  4 F 2.51
Ag2 0.0000 0.5000 0.5000  6 F 2.46-2.61
Ag3 0.5000 0.0000 0.5000  6 F 2.46-2.61
Ag4 0.5000 0.5000 0.5000  6 F 2.46-2.62
F1 0.2344 0.2344 0.2189  3 Na 2.28-2.29, 2 Ag 2.46
F2 0.2418 0.7295 0.2160  1 Li 2.24, 2 Na 2.29-2.30, 1 Ag 2.46
F3 0.2705 0.7582 0.7840  1 Li 2.24, 2 Na 2.29-2.30, 1 Ag 2.46
F4 0.2879 0.2879 0.7997  1 Li 2.07, 2 Na 2.31
F5 0.7121 0.7121 0.2003  1 Li 2.07, 2 Na 2.31
F6 0.7295 0.2418 0.2160  1 Li 2.24, 2 Na 2.29-2.30, 1 Ag 2.46
F7 0.7582 0.2705 0.7840  1 Li 2.24, 2 Na 2.29-2.30, 1 Ag 2.46
F8 0.7656 0.7656 0.7811  3 Na 2.28-2.29, 2 Ag 2.46

Computed properties:
Space group: C2/m, No. 12
Formation energy from raw total energies (meV/atom): -1857
Size of the total moment (μB/atom): 0.000

NaLiAg2F6 | PBE-GGA | optimized geometry

Cell lengths 6.0158, 6.0158, 4.3762 Å; angles 90.00, 90.00, 90.00 degrees
Closest atoms and distances in Å follow each position.
Fractional positions:
Na1 0.0000 0.0000 0.0000  6 F 2.13-2.32
Li1 0.5000 0.5000 0.0404  5 F 1.89-2.04
Ag1 0.0000 0.5000 0.2245  4 F 2.17
Ag2 0.5000 0.0000 0.2245  4 F 2.17
F1 0.0000 0.0000 0.5142  2 Na 2.13-2.25
F2 0.2645 0.2645 0.1264  1 Li 2.04, 2 Ag 2.17
F3 0.2645 0.7355 0.1264  1 Li 2.04, 2 Ag 2.17
F4 0.5000 0.5000 0.6086  1 Li 1.89
F5 0.7355 0.2645 0.1264  1 Li 2.04, 2 Ag 2.17
F6 0.7355 0.7355 0.1264  1 Li 2.04, 2 Ag 2.17

Computed properties:
Space group: P4mm, No. 99
Formation energy from raw total energies (meV/atom): -1600
Size of the total moment (μB/atom): 0.061

Na3LiAg3F8 | PBE-GGA | optimized geometry

Cell lengths 6.6532, 6.6532, 6.9963 Å; angles 121.68, 121.68, 60.25 degrees
Closest atoms and distances in Å follow each position.
Fractional positions:
Na1 0.0000 0.0000 0.0000  6 F 2.28-2.35
Na2 0.0000 0.5000 0.0000  6 F 2.25-2.43
Na3 0.5000 0.0000 0.0000  6 F 2.25-2.43
Li1 0.5000 0.5000 0.0000  6 F 2.08-2.12
Ag1 0.0000 0.5000 0.5000  4 F 2.25-2.42
Ag2 0.5000 0.0000 0.5000  4 F 2.25-2.42
Ag3 0.5000 0.5000 0.5000  6 F 2.32-2.53
F1 0.2474 0.2474 0.2122  3 Na 2.25-2.28, 1 Ag 2.32
F2 0.2661 0.7210 0.7823  1 Li 2.12, 1 Ag 2.25, 2 Na 2.35-2.37
F3 0.2727 0.2727 0.7715  1 Li 2.08
F4 0.2790 0.7339 0.2177  1 Li 2.12, 1 Ag 2.25, 2 Na 2.35-2.37
F5 0.7210 0.2661 0.7823  1 Li 2.12, 1 Ag 2.25, 2 Na 2.35-2.37
F6 0.7273 0.7273 0.2285  1 Li 2.08
F7 0.7339 0.2790 0.2177  1 Li 2.12, 1 Ag 2.25, 2 Na 2.35-2.37
F8 0.7526 0.7526 0.7878  3 Na 2.25-2.28, 1 Ag 2.32

Computed properties:
Space group: C2/m, No. 12
Formation energy from raw total energies (meV/atom): -1951
Size of the total moment (μB/atom): 0.074

Na2LiAg2F6 | PBE-GGA | optimized geometry

Cell lengths 5.5743, 5.5743, 6.0007 Å; angles 102.38, 102.38, 116.72 degrees
Closest atoms and distances in Å follow each position.
Fractional positions:
Na1 0.1581 0.8419 0.0000  6 F 2.27-2.35
Na2 0.8419 0.1581 0.0000  6 F 2.27-2.35
Li1 0.5000 0.5000 0.0000  6 F 2.10-2.17
Ag1 0.3152 0.6848 0.5000  4 F 2.25-2.31
Ag2 0.6848 0.3152 0.5000  4 F 2.25-2.31
F1 0.0848 0.4121 0.7837  1 Li 2.17, 1 Ag 2.25, 2 Na 2.27-2.31
F2 0.3159 0.3159 0.2362  1 Li 2.10, 2 Ag 2.31, 2 Na 2.35
F3 0.4121 0.0848 0.7837  1 Li 2.17, 1 Ag 2.25, 2 Na 2.27-2.31
F4 0.5879 0.9152 0.2163  1 Li 2.17, 1 Ag 2.25, 2 Na 2.27-2.31
F5 0.6841 0.6841 0.7638  1 Li 2.10, 2 Ag 2.31, 2 Na 2.35
F6 0.9152 0.5879 0.2163  1 Li 2.17, 1 Ag 2.25, 2 Na 2.27-2.31

Computed properties:
Space group: C2/m, No. 12
Formation energy from raw total energies (meV/atom): -1974
Size of the total moment (μB/atom): 0.095

NaLi2AgF6 | PBE-GGA | optimized geometry

Cell lengths 6.8705, 6.8705, 5.8583 Å; angles 100.92, 100.92, 74.95 degrees
Closest atoms and distances in Å follow each position.
Fractional positions:
Na1 0.1263 0.8737 0.7500  4 F 2.21-2.38
Na2 0.8737 0.1263 0.2500  4 F 2.21-2.38
Li1 0.1839 0.2952 0.7878  3 F 1.85-2.03
Li2 0.2952 0.1839 0.2878  3 F 1.85-2.03
Li3 0.7048 0.8161 0.7122  3 F 1.85-2.03
Li4 0.8161 0.7048 0.2122  3 F 1.85-2.03
Ag1 0.3394 0.6606 0.2500  4 F 1.96-1.98
Ag2 0.6606 0.3394 0.7500  4 F 1.96-1.98
F1 0.1276 0.1573 0.0006  2 Li 1.85-1.86
F2 0.1573 0.1276 0.5006  2 Li 1.85-1.86
F3 0.1688 0.5064 0.3374  1 Ag 1.96, 1 Li 2.14
F4 0.2612 0.5650 0.9126  1 Ag 1.98, 1 Li 2.03
F5 0.4350 0.7388 0.5874  1 Ag 1.98, 1 Li 2.03
F6 0.4936 0.8312 0.1626  1 Ag 1.96, 1 Li 2.14
F7 0.5064 0.1688 0.8374  1 Ag 1.96, 1 Li 2.14
F8 0.5650 0.2612 0.4126  1 Ag 1.98, 1 Li 2.03
F9 0.7388 0.4350 0.0874  1 Ag 1.98, 1 Li 2.03
F10 0.8312 0.4936 0.6626  1 Ag 1.96, 1 Li 2.14
F11 0.8427 0.8724 0.4994  2 Li 1.85-1.86
F12 0.8724 0.8427 0.9994  2 Li 1.85-1.86

Computed properties:
Space group: C2/c, No. 15
Formation energy from raw total energies (meV/atom): -2112
Size of the total moment (μB/atom): 0.010

NaLi2AgF | PBE-GGA | optimized geometry

Cell lengths 4.1717, 4.1717, 4.7613 Å; angles 90.00, 90.00, 90.00 degrees
Closest atoms and distances in Å follow each position.
Fractional positions:
Na1 0.0000 0.0000 0.0000  2 F 2.38
Li1 0.0000 0.5000 0.5000  2 F 2.09
Li2 0.5000 0.0000 0.5000  2 F 2.09
Ag1 0.5000 0.5000 0.0000  4 Na 2.95, 8 Li 3.17
F1 0.0000 0.0000 0.5000  4 Li 2.09

Computed properties:
Space group: P4/mmm, No. 123
Formation energy from raw total energies (meV/atom): -1060
Size of the total moment (μB/atom): 0.024

NaLiAgF6 | PBE-GGA | optimized geometry

Cell lengths 5.3180, 5.3180, 4.9842 Å; angles 90.00, 90.00, 120.00 degrees
Closest atoms and distances in Å follow each position.
Fractional positions:
Na1 0.0000 0.0000 0.0000  6 F 2.35
Li1 0.3333 0.6667 0.5000  6 F 2.05
Ag1 0.6667 0.3333 0.5000  6 F 2.02
F1 0.3600 0.0040 0.7222  1 Ag 2.02, 1 Li 2.05
F2 0.3600 0.3560 0.2778  1 Ag 2.02, 1 Li 2.05
F3 0.6440 0.0040 0.2778  1 Ag 2.02, 1 Li 2.05
F4 0.6440 0.6400 0.7222  1 Ag 2.02, 1 Li 2.05
F5 0.9960 0.3560 0.7222  1 Ag 2.02, 1 Li 2.05
F6 0.9960 0.6400 0.2778  1 Ag 2.02, 1 Li 2.05

Computed properties:
Space group: P312, No. 149
Formation energy from raw total energies (meV/atom): -1767
Size of the total moment (μB/atom): 0.113

NaLiAgF3 | PBE-GGA | optimized geometry

Cell lengths 7.2563, 3.3177, 8.1270 Å; angles 90.00, 100.77, 90.00 degrees
Closest atoms and distances in Å follow each position.
Fractional positions:
Na1 0.1658 0.2500 0.1211  5 F 2.29-2.30
Na2 0.8342 0.7500 0.8789  5 F 2.29-2.30
Li1 0.0584 0.2500 0.6187  4 F 1.83-1.92
Li2 0.9416 0.7500 0.3813  4 F 1.83-1.92
Ag1 0.3591 0.7500 0.8202  4 F 2.34-2.48
Ag2 0.6409 0.2500 0.1798  4 F 2.34-2.48
F1 0.0398 0.2500 0.8398  1 Li 1.83
F2 0.1552 0.7500 0.5611  3 Li 1.89-1.92
F3 0.3828 0.7500 0.1178  2 Na 2.29, 3 Ag 2.39-2.48
F4 0.6172 0.2500 0.8822  2 Na 2.29, 3 Ag 2.39-2.48
F5 0.8448 0.2500 0.4389  3 Li 1.89-1.92
F6 0.9602 0.7500 0.1602  1 Li 1.83

Computed properties:
Space group: P2_1/m, No. 11
Formation energy from raw total energies (meV/atom): -2151
Size of the total moment (μB/atom): 0.000

NaLi2Ag3F6 | PBE-GGA | optimized geometry

Cell lengths 5.4379, 5.4379, 6.1448 Å; angles 90.76, 90.76, 120.96 degrees
Closest atoms and distances in Å follow each position.
Fractional positions:
Na1 0.0000 0.0000 0.0000  6 F 2.25-2.27
Li1 0.3327 0.6673 0.0000  6 F 2.07-2.10
Li2 0.6673 0.3327 0.0000  6 F 2.07-2.10
Ag1 0.1711 0.8289 0.5000  2 F 2.16
Ag2 0.5000 0.5000 0.5000  2 F 2.12
Ag3 0.8289 0.1711 0.5000  2 F 2.16
F1 0.0012 0.6390 0.8108  2 Li 2.07-2.10, 1 Ag 2.16, 1 Na 2.27
F2 0.3577 0.3577 0.8178  2 Li 2.07, 1 Ag 2.12, 1 Na 2.25
F3 0.3610 0.9988 0.1892  2 Li 2.07-2.10, 1 Ag 2.16, 1 Na 2.27
F4 0.6390 0.0012 0.8108  2 Li 2.07-2.10, 1 Ag 2.16, 1 Na 2.27
F5 0.6423 0.6423 0.1822  2 Li 2.07, 1 Ag 2.12, 1 Na 2.25
F6 0.9988 0.3610 0.1892  2 Li 2.07-2.10, 1 Ag 2.16, 1 Na 2.27

Computed properties:
Space group: C2/m, No. 12
Formation energy from raw total energies (meV/atom): -1913
Size of the total moment (μB/atom): 0.000

| no. | volume (Å³ per atom) |
| --- | --- |
| 1 | 11.7 |
| 2 | 16.4 |
| 3 | 13.6 |
| 4 | 15.8 |
| 5 | 14.2 |
| 6 | 13.8 |
| 7 | 13.0 |
| 8 | 16.6 |
| 9 | 13.6 |
| 10 | 16.0 |
| 11 | 13.0 |